[1]
A plane-wave DFT calculation with meta-GGA SCAN was carried out for CrCo3Au at its PBEsol-relaxed geometry.

Calculated values
- ΔH_f (0 K): 6.9 eV per formula unit
- VASP energy: -132.53 eV per cell

CIF file:
```
data_CrCo3Au
_space_group_name_H-M_alt 'P m -3 m'
_space_group_IT_number 221
_space_group_name_Hall '-P 4 2 3'
_cell_length_a 4.562
_cell_length_b 4.562
_cell_length_c 4.562
_cell_angle_alpha 90.00
_cell_angle_beta 90.00
_cell_angle_gamma 90.00
loop_
_atom_site_label
_atom_site_type_symbol
_atom_site_fract_x
_atom_site_fract_y
_atom_site_fract_z
_atom_site_occupancy
Cr1 Cr 0.000 0.000 0.000 1
Co1 Co 0.000 0.500 0.500 1
Au1 Au 0.500 0.500 0.500 1
```


[2]
A plane-wave DFT calculation with meta-GGA SCAN was carried out for CsLa2CoAu at its PBEsol-relaxed geometry.

Calculated values
- ΔH_f (0 K): 0.0 eV per formula unit
- VASP energy: -210.46 eV per cell

CIF file:
```
data_CsLa2CoAu
_space_group_name_H-M_alt 'P 4/m m m'
_space_group_IT_number 123
_space_group_name_Hall '-P 4 2'
_cell_length_a 5.159
_cell_length_b 5.159
_cell_length_c 5.250
_cell_angle_alpha 90.00
_cell_angle_beta 90.00
_cell_angle_gamma 90.00
loop_
_atom_site_label
_atom_site_type_symbol
_atom_site_fract_x
_atom_site_fract_y
_atom_site_fract_z
_atom_site_occupancy
Cs1 Cs 0.000 0.000 0.000 1
La1 La 0.000 0.500 0.500 1
Co1 Co 0.500 0.500 0.500 1
Au1 Au 0.500 0.500 0.000 1
```